A geometry-optimized PmErAlSi structure. Source: Alexandria via LeMat-Bulk, functional PBE.

The volume is 24.0 A^3/atom. For the raw formation energy, the calculation gives -60 kJ/mol of atoms. The total energy is -21.0 eV per formula unit. Its energy above the most stable polymorph in this dataset is 0 meV per atom.

a b c (Å): 4.370 4.011 5.905
angles (deg): 90.00 111.72 90.00
Atoms (fractional coordinates):
Si 0.425 0.000 0.850
Pm 0.144 0.000 0.289
Al 0.569 0.500 0.138
Er 0.861 0.500 0.723